No. 1
The following is a DFT calculation (PBE) of crystalline La5TbSc at its relaxed geometry.

Cell lengths 9.4577, 9.4577, 9.1804 Å; angles 94.16, 94.16, 142.38 degrees
Closest atoms and distances in Å follow each position.
Atoms (fractional coordinates):
La1 0.0032 0.6280 0.3546  5 La 3.27-3.62, 1 Sc 3.59
La2 0.1486 0.8514 0.7500  2 Tb 3.51, 8 La 3.52-3.62
La3 0.2981 0.5643 0.0384  2 Sc 3.32-3.44, 4 La 3.33-3.61, 1 Tb 3.51
La4 0.3720 0.9968 0.1454  5 La 3.27-3.62, 1 Sc 3.59
La5 0.4357 0.7019 0.4616  2 Sc 3.32-3.44, 4 La 3.33-3.61, 1 Tb 3.51
La6 0.5643 0.2981 0.5384  2 Sc 3.32-3.44, 4 La 3.33-3.61, 1 Tb 3.51
La7 0.6280 0.0032 0.8546  5 La 3.27-3.62, 1 Sc 3.59
La8 0.7019 0.4357 0.9616  2 Sc 3.32-3.44, 4 La 3.33-3.61, 1 Tb 3.51
La9 0.8514 0.1486 0.2500  2 Tb 3.51, 8 La 3.52-3.62
La10 0.9968 0.3720 0.6454  5 La 3.27-3.62, 1 Sc 3.59
Tb1 0.0000 0.0000 0.0000  2 Sc 3.40, 6 La 3.51-3.70
Tb2 0.0000 0.0000 0.5000  2 Sc 3.40, 6 La 3.51-3.70
Sc1 0.4810 0.5190 0.7500  6 La 3.32-3.59, 2 Tb 3.40
Sc2 0.5190 0.4810 0.2500  6 La 3.32-3.59, 2 Tb 3.40

ΔE_f: 186 meV/atom
N(E_F): 1.711 states/eV/atom
calculated total energy: -0.360 Ry/atom
magnetization: 0.000 Bohr magnetons per cell

=====

No. 2
The following is a DFT calculation (PBE) of crystalline LaTb3Sc6 at its relaxed geometry.

Cell lengths 9.3402, 9.3402, 6.6138 Å; angles 90.00, 90.00, 95.43 degrees
Closest atoms and distances in Å follow each position.
Atoms (fractional coordinates):
La1 0.1904 0.8096 0.5000  4 Sc 3.08-3.40, 1 Tb 3.23
La2 0.8096 0.1904 0.0000  4 Sc 3.08-3.40, 1 Tb 3.23
Tb1 0.1727 0.2553 0.5442  6 Sc 3.14-3.51, 2 Tb 3.50
Tb2 0.2553 0.1727 0.0442  6 Sc 3.14-3.51, 2 Tb 3.50
Tb3 0.4100 0.5900 0.3315  7 Sc 3.21-3.54, 1 La 3.23
Tb4 0.5900 0.4100 0.8315  7 Sc 3.21-3.54, 1 La 3.23
Tb5 0.7447 0.8273 0.5442  6 Sc 3.14-3.51, 2 Tb 3.50
Tb6 0.8273 0.7447 0.0442  6 Sc 3.14-3.51, 2 Tb 3.50
Sc1 0.0057 0.9943 0.7783  2 La 3.08-3.15, 4 Sc 3.15-3.38, 4 Tb 3.17-3.25
Sc2 0.0489 0.4760 0.2183  5 Sc 3.11-3.47, 1 Tb 3.27
Sc3 0.2034 0.7966 0.0140  4 Sc 3.06-3.38, 2 La 3.22-3.40
Sc4 0.2683 0.5033 0.8498  4 Sc 2.87-3.18, 2 Tb 3.14-3.21
Sc5 0.4760 0.0489 0.7183  5 Sc 3.11-3.47, 1 Tb 3.27
Sc6 0.4967 0.7317 0.8498  4 Sc 2.87-3.18, 2 Tb 3.14-3.21
Sc7 0.5033 0.2683 0.3498  4 Sc 2.87-3.18, 2 Tb 3.14-3.21
Sc8 0.5240 0.9511 0.2183  5 Sc 3.11-3.47, 1 Tb 3.27
Sc9 0.7317 0.4967 0.3498  4 Sc 2.87-3.18, 2 Tb 3.14-3.21
Sc10 0.7966 0.2034 0.5140  4 Sc 3.06-3.38, 2 La 3.22-3.40
Sc11 0.9511 0.5240 0.7183  5 Sc 3.11-3.47, 1 Tb 3.27
Sc12 0.9943 0.0057 0.2783  2 La 3.08-3.15, 4 Sc 3.15-3.38, 4 Tb 3.17-3.25

ΔE_f: 217 meV/atom
N(E_F): 1.836 states/eV/atom
calculated total energy: -0.402 Ry/atom
offset from the most stable computed form: 0 kJ/mol of formula units
magnetization: 0.008 Bohr magnetons per cell

=====

No. 3
The following is a DFT calculation (PBE) of crystalline LaTb6Sc at its relaxed geometry.

Cell lengths 9.1854, 6.9669, 9.1263 Å; angles 90.00, 105.67, 90.00 degrees
Closest atoms and distances in Å follow each position.
Atoms (fractional coordinates):
La1 0.0000 0.0000 0.0000  10 Tb 3.43-3.74
La2 0.5000 0.5000 0.0000  10 Tb 3.43-3.74
Tb1 0.1320 0.0000 0.4257  3 Tb 3.08-3.33, 1 Sc 3.26
Tb2 0.1963 0.2443 0.7875  1 Sc 3.28, 5 Tb 3.33-3.62, 2 La 3.43-3.44
Tb3 0.1963 0.7557 0.7875  1 Sc 3.28, 5 Tb 3.33-3.62, 2 La 3.43-3.44
Tb4 0.3037 0.2557 0.2125  1 Sc 3.28, 5 Tb 3.33-3.62, 2 La 3.43-3.44
Tb5 0.3037 0.7443 0.2125  1 Sc 3.28, 5 Tb 3.33-3.62, 2 La 3.43-3.44
Tb6 0.3680 0.5000 0.5743  3 Tb 3.08-3.33, 1 Sc 3.26
Tb7 0.6320 0.5000 0.4257  3 Tb 3.08-3.33, 1 Sc 3.26
Tb8 0.6963 0.2557 0.7875  1 Sc 3.28, 5 Tb 3.33-3.62, 2 La 3.43-3.44
Tb9 0.6963 0.7443 0.7875  1 Sc 3.28, 5 Tb 3.33-3.62, 2 La 3.43-3.44
Tb10 0.8037 0.2443 0.2125  1 Sc 3.28, 5 Tb 3.33-3.62, 2 La 3.43-3.44
Tb11 0.8037 0.7557 0.2125  1 Sc 3.28, 5 Tb 3.33-3.62, 2 La 3.43-3.44
Tb12 0.8680 0.0000 0.5743  3 Tb 3.08-3.33, 1 Sc 3.26
Sc1 0.0000 0.5000 0.5000  6 Tb 3.26-3.28
Sc2 0.5000 0.0000 0.5000  6 Tb 3.26-3.28

ΔE_f: 402 meV/atom
N(E_F): 1.884 states/eV/atom
calculated total energy: -0.329 Ry/atom
offset from the most stable computed form: 277 kJ/mol of formula units
magnetization: 0.002 Bohr magnetons per cell

=====

No. 4
The following is a DFT calculation (PBE) of crystalline La4Tb15Sc at its relaxed geometry.

Cell lengths 5.0828, 5.0828, 25.2656 Å; angles 90.00, 90.00, 90.00 degrees
Closest atoms and distances in Å follow each position.
Atoms (fractional coordinates):
La1 0.0000 0.0000 0.1014  12 Tb 3.59-3.61
La2 0.0000 0.0000 0.3025  12 Tb 3.58-3.64
La3 0.0000 0.0000 0.6975  12 Tb 3.58-3.64
La4 0.0000 0.0000 0.8986  12 Tb 3.59-3.61
Tb1 0.0000 0.5000 0.0000  8 Tb 3.59-3.60, 4 La 3.61
Tb2 0.0000 0.5000 0.2026  4 La 3.58-3.60, 8 Tb 3.59-3.61
Tb3 0.0000 0.5000 0.4056  8 Tb 3.48-3.61, 2 Sc 3.48, 2 La 3.64
Tb4 0.0000 0.5000 0.5944  8 Tb 3.48-3.61, 2 Sc 3.48, 2 La 3.64
Tb5 0.0000 0.5000 0.7974  4 La 3.58-3.60, 8 Tb 3.59-3.61
Tb6 0.5000 0.0000 0.0000  8 Tb 3.59-3.60, 4 La 3.61
Tb7 0.5000 0.0000 0.2026  4 La 3.58-3.60, 8 Tb 3.59-3.61
Tb8 0.5000 0.0000 0.4056  8 Tb 3.48-3.61, 2 Sc 3.48, 2 La 3.64
Tb9 0.5000 0.0000 0.5944  8 Tb 3.48-3.61, 2 Sc 3.48, 2 La 3.64
Tb10 0.5000 0.0000 0.7974  4 La 3.58-3.60, 8 Tb 3.59-3.61
Tb11 0.5000 0.5000 0.1012  4 La 3.59, 8 Tb 3.60-3.61
Tb12 0.5000 0.5000 0.3042  4 La 3.59, 8 Tb 3.61
Tb13 0.5000 0.5000 0.5000  8 Tb 3.48, 4 Sc 3.59
Tb14 0.5000 0.5000 0.6958  4 La 3.59, 8 Tb 3.61
Tb15 0.5000 0.5000 0.8988  4 La 3.59, 8 Tb 3.60-3.61
Sc1 0.0000 0.0000 0.5000  12 Tb 3.48-3.59

ΔE_f: 32 meV/atom
N(E_F): 1.539 states/eV/atom
calculated total energy: -0.349 Ry/atom
magnetization: 0.000 Bohr magnetons per cell